# PaAlNiO6 (PBE+U, optimized geometry)
data_PaAlNiO6
_chemical_formula_sum 'Pa1 Al1 Ni1 O6'
_cell_length_a 4.770
_cell_length_b 4.890
_cell_length_c 4.890
_cell_angle_alpha 120.00
_cell_angle_beta 90.00
_cell_angle_gamma 90.00
_space_group_name_H-M_alt 'P 1'
_space_group_IT_number 1
_space_group_name_Hall 'P 1'
loop_
_atom_site_label
_atom_site_type_symbol
_atom_site_fract_x
_atom_site_fract_y
_atom_site_fract_z
_atom_site_occupancy
O1 O 0.721 0.336 0.027 1
Pa1 Pa 0.000 0.333 0.667 1
O2 O 0.721 0.973 0.310 1
Al1 Al 0.500 0.000 0.000 1
O3 O 0.279 0.336 0.310 1
O4 O 0.279 0.690 0.027 1
O5 O 0.721 0.690 0.664 1
O6 O 0.279 0.973 0.664 1
Ni1 Ni 0.500 0.667 0.333 1
# Size of the total moment, μB/f.u.: 0.00
# SG: No. 149
# Calculated volume, Å³ per cell: 98.8
# Raw total energy, eV/atom: -7.410